In2Pd2Au3 | PBE | relaxed

Summary:
Energy of formation from the pure elements: -271 meV per atom

a = 9.0823 Å, b = 4.2021 Å, c = 6.7657 Å
α = 90.00°, β = 99.91°, γ = 90.00°
Space group C2/m (No. 12)
Symmetry-distinct sites (fractional):
In 0.2088 0.0000 0.1666 x4
Pd 0.0832 0.0000 0.7393 x4
Au 0.0000 0.5000 0.0000 x2
Au 0.1361 0.5000 0.4335 x4


RbSeBr3 | PBE | relaxed

Summary:
Formation energy (no corrections): -0.5613 eV/atom

a = 19.4713 Å, b = 4.4617 Å, c = 8.6381 Å
α = 90.00°, β = 101.15°, γ = 90.00°
Space group C2/m (No. 12)
Symmetry-distinct sites (fractional):
Rb 0.2221 0.0000 0.2243 x4
Se 0.0493 0.5000 0.6434 x4
Br 0.0008 0.0000 0.7260 x4
Br 0.1362 0.5000 0.9629 x4
Br 0.1563 0.0000 0.5689 x4


ReSiBr2 | PBE | relaxed

Summary:
Formation energy (no corrections): 0.5710 eV/atom

a = 3.2001 Å, b = 5.7136 Å, c = 9.5879 Å
α = 90.00°, β = 90.00°, γ = 90.00°
Space group Cmm2 (No. 35)
Symmetry-distinct sites (fractional):
Re 0.0000 0.0000 0.0000 x2
Si 0.0000 0.5000 0.8150 x2
Br 0.0000 0.0000 0.6049 x2
Br 0.0000 0.5000 0.2182 x2


K2PaAg3Br12 | PBE | relaxed

Summary:
Formation energy (no corrections): -0.9488 eV/atom

a = 9.3720 Å, b = 9.3720 Å, c = 30.5453 Å
α = 90.00°, β = 90.00°, γ = 120.00°
Space group R-3m (No. 166, hexagonal axes)
Symmetry-distinct sites (fractional):
K 0.0000 0.0000 0.0697 x6
Pa 0.0000 0.0000 0.5000 x3
Ag 0.0000 0.5000 0.0000 x9
Br 0.0563 0.5282 0.3599 x18
Br 0.0583 0.5292 0.1155 x18


SrNbTeSe2 | PBE | relaxed

Summary:
Formation energy (no corrections): -0.8787 eV/atom

a = 5.0438 Å, b = 5.0438 Å, c = 5.7217 Å
α = 90.00°, β = 90.00°, γ = 90.00°
Space group P4/mmm (No. 123)
Symmetry-distinct sites (fractional):
Sr 0.0000 0.0000 0.0000 x1
Nb 0.5000 0.5000 0.5000 x1
Te 0.5000 0.5000 0.0000 x1
Se 0.0000 0.5000 0.5000 x2


In2AgSb | PBE | relaxed

Summary:
Formation energy (no corrections): 0.0857 eV/atom

a = 3.3637 Å, b = 4.2208 Å, c = 7.0759 Å
α = 90.00°, β = 99.20°, γ = 90.00°
Space group P2/m (No. 10)
Symmetry-distinct sites (fractional):
In 0.0169 0.0000 0.2271 x2
Ag 0.5000 0.5000 0.0000 x1
Sb 0.5000 0.5000 0.5000 x1


Nd2TlRu | PBE | relaxed

Summary:
Energy of formation from the pure elements: -270 meV per atom

a = 3.4737 Å, b = 3.4737 Å, c = 8.7103 Å
α = 90.00°, β = 90.00°, γ = 90.00°
Space group P4/mmm (No. 123)
Symmetry-distinct sites (fractional):
Nd 0.0000 0.0000 0.2011 x2
Tl 0.5000 0.5000 0.5000 x1
Ru 0.5000 0.5000 0.0000 x1


Pr2Dy5Sc4 | PBE | relaxed

Summary:
Energy of formation from the pure elements: 180 meV per atom

a = 12.0467 Å, b = 6.6146 Å, c = 10.2072 Å
α = 90.00°, β = 125.27°, γ = 90.00°
Space group C2/m (No. 12)
Symmetry-distinct sites (fractional):
Pr 0.1844 0.0000 0.2535 x4
Dy 0.0000 0.5000 0.0000 x2
Dy 0.0072 0.2674 0.6693 x8
Sc 0.2242 0.0000 0.9709 x4
Sc 0.2292 0.0000 0.6329 x4


Sm2Dy3Pb4 | PBE | relaxed

Summary:
Energy of formation from the pure elements: -575 meV per atom

a = 8.4929 Å, b = 8.4183 Å, c = 8.1808 Å
α = 90.00°, β = 112.02°, γ = 90.00°
Space group P2_1/c (No. 14)
Symmetry-distinct sites (fractional):
Sm 0.1950 0.1795 0.0550 x4
Dy 0.2433 0.6595 0.2345 x4
Dy 0.5000 0.0000 0.5000 x2
Pb 0.0860 0.5384 0.8264 x4
Pb 0.4902 0.1412 0.8597 x4


CaAgBr2 | PBE | relaxed

Summary:
Formation energy (no corrections): -0.8409 eV/atom

a = 7.4811 Å, b = 8.9059 Å, c = 4.5548 Å
α = 90.00°, β = 126.68°, γ = 90.00°
Space group C2/m (No. 12)
Symmetry-distinct sites (fractional):
Ca 0.0000 0.0000 0.0000 x2
Ag 0.0000 0.5000 0.0000 x2
Br 0.2500 0.2500 0.5000 x4


TbZrPSe | PBE | relaxed

Summary:
Formation energy (no corrections): -1.5323 eV/atom

a = 3.8328 Å, b = 3.8328 Å, c = 20.4535 Å
α = 90.00°, β = 90.00°, γ = 120.00°
Space group R3m (No. 160, hexagonal axes)
Symmetry-distinct sites (fractional):
Tb 0.0000 0.0000 0.0000 x3
Zr 0.0000 0.0000 0.8124 x3
P 0.0000 0.0000 0.4121 x3
Se 0.0000 0.0000 0.2339 x3


TlCd5Br11 | PBE | relaxed

Summary:
Formation energy (no corrections): -0.8068 eV/atom

a = 10.4121 Å, b = 14.9548 Å, c = 8.1475 Å
α = 90.00°, β = 113.50°, γ = 90.00°
Space group C2/m (No. 12)
Symmetry-distinct sites (fractional):
Tl 0.0000 0.0000 0.0000 x2
Cd 0.0000 0.5000 0.0000 x2
Cd 0.2241 0.1435 0.6301 x8
Br 0.0000 0.0000 0.5000 x2
Br 0.0847 0.2118 0.3106 x8
Br 0.1087 0.5000 0.3803 x4
Br 0.2095 0.3754 0.0229 x8


CdPd4Au2 | PBE | relaxed

Summary:
Energy of formation from the pure elements: 7 meV per atom

a = 7.9452 Å, b = 7.9452 Å, c = 7.9999 Å
α = 90.00°, β = 90.00°, γ = 90.00°
Space group I-42d (No. 122)
Symmetry-distinct sites (fractional):
Cd 0.0000 0.0000 0.0000 x4
Pd 0.0840 0.6657 0.9568 x16
Au 0.1281 0.7500 0.6250 x8


K3Rb2InI6 | PBE | relaxed

Summary:
Formation energy (no corrections): -1.3127 eV/atom

a = 22.3814 Å, b = 5.1244 Å, c = 10.2778 Å
α = 90.00°, β = 103.47°, γ = 90.00°
Space group C2/m (No. 12)
Symmetry-distinct sites (fractional):
K 0.0000 0.0000 0.0000 x2
K 0.1670 0.5000 0.3339 x4
Rb 0.1653 0.5000 0.8300 x4
In 0.0000 0.0000 0.5000 x2
I 0.0031 0.5000 0.2549 x4
I 0.1642 0.0000 0.0890 x4
I 0.1653 0.0000 0.5737 x4


KAgBr2 | PBE | relaxed

Summary:
Formation energy (no corrections): -1.0281 eV/atom

a = 7.9498 Å, b = 8.2984 Å, c = 7.9670 Å
α = 90.00°, β = 101.75°, γ = 90.00°
Space group P2_1/c (No. 14)
Symmetry-distinct sites (fractional):
K 0.1789 0.0595 0.3095 x4
Ag 0.3803 0.6346 0.4067 x4
Br 0.0993 0.7300 0.5075 x4
Br 0.4261 0.1312 0.7256 x4


TmMnNiRh | PBE | relaxed

Summary:
Energy of formation from the pure elements: -362 meV per atom

a = 6.3678 Å, b = 6.3678 Å, c = 6.3678 Å
α = 90.00°, β = 90.00°, γ = 90.00°
Space group F-43m (No. 216)
Symmetry-distinct sites (fractional):
Tm 0.0000 0.0000 0.0000 x4
Mn 0.0000 0.0000 0.5000 x4
Ni 0.2500 0.2500 0.7500 x4
Rh 0.2500 0.2500 0.2500 x4